TbTm2Ni: relaxed, PBE.

Cell and atoms, written as extended XYZ:
```
8
Lattice="-0.778 1.387 -3.224 -4.193 -4.470 1.093 -5.686 6.335 4.098" Properties=species:S:1:pos:R:3 pbc="T T T"
Tb -5.652 -0.889 -1.023
Tb -5.005 4.140 2.990
Tm -6.567 0.872 1.961
Tm -4.089 2.380 0.006
Tm -8.611 3.149 3.433
Tm -2.045 0.103 -1.467
Ni -7.064 3.457 1.189
Ni -3.592 -0.205 0.778
```

total magnetic moment: 0.0 μB per cell
ρ: 9.115 Mg/m³
DFT total energy: -5.07 eV/atom
formation energy: -0.231 eV/atom



U3ZnSe6: relaxed, PBE.

Cell and atoms, written as extended XYZ:
```
20
Lattice="-4.447 -3.393 -3.895 1.475 -7.337 4.708 -6.699 3.655 4.465" Properties=species:S:1:pos:R:3 pbc="T T T"
U -5.648 -5.746 5.703
U -9.472 -5.289 3.709
U -5.131 -2.023 3.079
U -5.704 -5.939 1.181
U -6.088 -2.904 -2.233
U -2.264 -3.361 -0.238
Zn -5.121 1.331 4.431
Zn -2.518 -6.856 2.627
Se -3.979 -3.444 5.374
Se -6.781 -4.363 3.410
Se -6.343 -0.650 5.328
Se -4.786 -7.430 3.493
Se -7.186 2.661 3.789
Se -7.807 -1.072 1.937
Se -1.093 -5.414 4.018
Se -1.827 -9.233 2.067
Se -4.512 0.641 2.113
Se -2.955 -6.140 0.278
Se -2.285 -2.250 2.400
Se -5.087 -3.169 0.435
```

total magnetic moment: 16.0 μB per cell
ρ: 7.973 Mg/m³
formation energy (no corrections): -1.0180 eV/atom
DFT total energy: -6.62 eV/atom



Ba5Na4Au4: relaxed, PBE.

Cell and atoms, written as extended XYZ:
```
13
Lattice="-0.084 4.601 -1.753 -9.616 2.105 -0.933 -0.164 5.708 8.073" Properties=species:S:1:pos:R:3 pbc="T T T"
Ba -9.036 9.003 3.311
Ba -0.828 3.411 2.076
Ba 0.000 0.000 0.000
Ba -6.504 4.735 -1.094
Ba -3.359 7.678 6.481
Na -5.200 9.132 3.467
Na -3.168 6.315 2.895
Na -4.663 3.282 1.920
Na -6.696 6.098 2.492
Au -3.094 5.161 -0.139
Au -6.770 7.253 5.526
Au -7.993 7.805 0.118
Au -1.871 4.609 5.269
```

total magnetic moment: 0.0 μB per cell
ρ: 5.760 Mg/m³
DFT total energy: -2.59 eV/atom
formation energy: -0.441 eV/atom



In5As: relaxed, PBE.

Cell and atoms, written as extended XYZ:
```
6
Lattice="1.728 -8.484 0.000 1.728 8.484 0.000 0.000 0.000 5.417" Properties=species:S:1:pos:R:3 pbc="T T T"
In 1.728 2.909 0.000
In 1.728 -1.955 0.000
In 1.728 0.468 2.708
In 1.728 -5.181 2.708
In 1.728 6.111 2.708
As 1.728 -8.006 0.000
```

total magnetic moment: 0.0 μB per cell
ρ: 6.786 Mg/m³
DFT total energy: -3.02 eV/atom
formation energy: 0.037 eV/atom



ScAl2Tc: relaxed, PBE.

Cell and atoms, written as extended XYZ:
```
8
Lattice="-3.765 -0.919 -0.117 0.226 -0.436 -3.846 0.458 -9.956 -0.800" Properties=species:S:1:pos:R:3 pbc="T T T"
Sc -1.770 -0.677 -1.982
Sc -0.543 -5.535 -3.314
Tc 0.000 0.000 0.000
Tc -2.538 -5.776 -1.449
Al -2.298 -3.139 -0.756
Al -0.127 -2.855 -2.616
Al -0.989 -7.965 -1.997
Al -2.748 -8.663 -4.157
```

total magnetic moment: 0.0 μB per cell
ρ: 4.523 Mg/m³
DFT total energy: -5.93 eV/atom
formation energy: 0.112 eV/atom



MgZrS: relaxed, PBE.

Cell and atoms, written as extended XYZ:
```
6
Lattice="3.422 0.000 0.000 -1.711 2.964 0.000 0.000 0.000 11.939" Properties=species:S:1:pos:R:3 pbc="T T T"
Mg 1.711 0.988 2.816
Mg 1.711 0.988 7.906
Zr 1.711 0.988 11.331
Zr 0.000 1.976 5.361
S 0.000 1.976 1.105
S 0.000 1.976 9.618
```

total magnetic moment: 0.0 μB per cell
ρ: 4.048 Mg/m³
formation energy (no corrections): -0.8582 eV/atom
DFT total energy: -5.61 eV/atom



Fe2IrOs: relaxed, PBE.

Cell and atoms, written as extended XYZ:
```
4
Lattice="-3.591 -0.318 -0.273 0.418 -3.313 -1.633 -0.107 -1.654 3.328" Properties=species:S:1:pos:R:3 pbc="T T T"
Fe 0.000 0.000 0.000
Fe 0.156 -2.484 0.847
Ir -1.587 -1.816 -0.953
Os -1.849 -0.986 1.527
```

total magnetic moment: 0.0 μB per cell
ρ: 16.421 Mg/m³
DFT total energy: -9.17 eV/atom
formation energy: 0.089 eV/atom



Pr9Er4Cd11: relaxed, PBE.

Cell and atoms, written as extended XYZ:
```
24
Lattice="3.567 0.000 0.000 0.000 13.279 -5.442 0.000 0.214 14.350" Properties=species:S:1:pos:R:3 pbc="T T T"
Pr 1.783 8.423 -1.340
Pr 1.783 5.071 10.248
Pr 1.783 2.078 8.272
Pr 1.783 11.416 0.636
Pr 1.783 10.690 9.382
Pr 1.783 2.804 -0.474
Pr 1.783 12.828 6.143
Pr 1.783 0.666 2.764
Pr 1.783 6.747 4.454
Er 1.783 7.533 7.706
Er 1.783 5.961 1.202
Er 1.783 10.046 3.899
Er 1.783 3.447 5.009
Cd 0.000 7.936 10.330
Cd 0.000 5.558 -1.422
Cd 0.000 12.618 3.238
Cd 0.000 0.876 5.670
Cd 0.000 8.535 1.746
Cd 0.000 4.959 7.162
Cd 0.000 11.158 -2.229
Cd 0.000 2.336 11.137
Cd 0.000 0.000 0.000
Cd 0.000 9.819 6.482
Cd 0.000 3.675 2.426
```

total magnetic moment: 0.4 μB per cell
ρ: 7.707 Mg/m³
DFT total energy: -3.21 eV/atom
formation energy: -0.242 eV/atom